The following is a DFT calculation (GGA-PBE) of crystalline PrEuGaAu at its relaxed geometry.

```
PrEuGaAu
1.0
5.302 0.000 0.000
2.651 4.591 0.000
2.651 1.530 4.329
Ga Pr Eu Au
1 1 1 1
Direct
0.250 0.250 0.250
0.500 0.500 0.500
0.000 0.000 0.000
0.750 0.750 0.750
```

Values from the calculation:
- D(E_F) (states/eV per cell) = 9.57
- symmetry = F-43m
- energy relative to the elements (eV/atom) = -0.609

***

The following is a DFT calculation (GGA-PBE) of crystalline Sn3Pt12W at its relaxed geometry.

```
Sn3Pt12W
1.0
-3.138 2.513 -0.193
-0.208 0.049 4.019
10.165 12.722 0.371
Sn Pt W
3 12 1
Direct
0.000 0.000 0.251
0.000 0.000 0.749
0.000 0.000 0.500
0.500 0.500 0.500
0.500 0.000 0.373
0.000 0.500 0.117
0.500 0.500 0.244
0.000 0.500 0.883
0.000 0.500 0.373
0.500 0.500 0.756
0.500 0.000 0.117
0.500 0.000 0.883
0.000 0.500 0.627
0.500 0.000 0.627
0.500 0.500 0.000
0.000 0.000 0.000
```

Values from the calculation:
- D(E_F) (states/eV per cell) = 9.04
- symmetry = P4/mmm
- energy relative to the elements (eV/atom) = -0.329